(1)
The following is a PBEsol calculation of a relaxed structure of NaLiPb2, from Alexandria.

## Properties
calculated formation energy	-188	meV/atom

```
data_NaLiPb2
_chemical_formula_sum 'Na4 Li4 Pb8'
_cell_length_a 7.3046
_cell_length_b 7.3046
_cell_length_c 7.3046
_cell_angle_alpha 90.00
_cell_angle_beta 90.00
_cell_angle_gamma 90.00
_symmetry_space_group_name_H-M 'F m -3 m'
_symmetry_Int_Tables_number 225
_symmetry_space_group_name_Hall '-F 4 2 3'
loop_
_atom_site_label
_atom_site_type_symbol
_atom_site_fract_x
_atom_site_fract_y
_atom_site_fract_z
Na1 Na 0.0000 0.0000 0.0000
Li1 Li 0.0000 0.0000 0.5000
Pb1 Pb 0.2500 0.2500 0.2500
```


(2)
The following is a PBEsol calculation of a relaxed structure of RbAuI2N, from Alexandria.

## Properties
energy relative to the elements, uncorrected	0.114	eV per atom
relative energy among the computed polymorphs	0.0	meV per atom

```
data_RbAuI2N
_chemical_formula_sum 'Rb1 Au1 I2 N1'
_cell_length_a 6.2537
_cell_length_b 6.2537
_cell_length_c 3.7653
_cell_angle_alpha 90.00
_cell_angle_beta 90.00
_cell_angle_gamma 90.00
_symmetry_space_group_name_H-M 'P 4/m m m'
_symmetry_Int_Tables_number 123
_symmetry_space_group_name_Hall '-P 4 2'
loop_
_atom_site_label
_atom_site_type_symbol
_atom_site_fract_x
_atom_site_fract_y
_atom_site_fract_z
Rb1 Rb 0.0000 0.0000 0.0000
Au1 Au 0.5000 0.5000 0.5000
I1 I 0.0000 0.5000 0.5000
N1 N 0.5000 0.5000 0.0000
```


(3)
The following is a PBEsol calculation of a relaxed structure of Ni2SnAsPt, from Alexandria.

## Properties
calculated formation energy	1081	meV/atom

```
data_Ni2SnAsPt
_chemical_formula_sum 'Ni2 Sn1 As1 Pt1'
_cell_length_a 4.5462
_cell_length_b 4.5462
_cell_length_c 4.8743
_cell_angle_alpha 90.00
_cell_angle_beta 90.00
_cell_angle_gamma 90.00
_symmetry_space_group_name_H-M 'P 4/m m m'
_symmetry_Int_Tables_number 123
_symmetry_space_group_name_Hall '-P 4 2'
loop_
_atom_site_label
_atom_site_type_symbol
_atom_site_fract_x
_atom_site_fract_y
_atom_site_fract_z
Ni1 Ni 0.0000 0.5000 0.0000
Sn1 Sn 0.0000 0.0000 0.0000
As1 As 0.5000 0.5000 0.5000
Pt1 Pt 0.0000 0.0000 0.5000
```


(4)
The following is a PBEsol calculation of a relaxed structure of Al3As, from Alexandria.

## Properties
calculated formation energy	162	meV/atom
relative energy among the computed polymorphs	99.9	meV per atom

```
data_Al3As
_chemical_formula_sum 'Al12 As4'
_cell_length_a 6.5245
_cell_length_b 6.5245
_cell_length_c 6.5245
_cell_angle_alpha 90.00
_cell_angle_beta 90.00
_cell_angle_gamma 90.00
_symmetry_space_group_name_H-M 'F m -3 m'
_symmetry_Int_Tables_number 225
_symmetry_space_group_name_Hall '-F 4 2 3'
loop_
_atom_site_label
_atom_site_type_symbol
_atom_site_fract_x
_atom_site_fract_y
_atom_site_fract_z
Al1 Al 0.0000 0.0000 0.0000
Al2 Al 0.2500 0.2500 0.2500
As1 As 0.0000 0.0000 0.5000
```


How do the records compare in D(E_F)? In the order shown, they have 5.27; 4.64; 2.37; 8.46 states/eV per cell.
How do the records compare in spin magnetization? In the order shown, they have 0.001; 0.002; 0.000; 0.001 μB/cell.